# TlN2F2

Crystalline TlN2F2 at its relaxed geometry (PBE-GGA, Alexandria via LeMat-Bulk). Values from VASP.

Structure (Quantum ESPRESSO input):
```
&SYSTEM
  ibrav = 0, nat = 5, ntyp = 3
/
ATOMIC_SPECIES
Tl 204.38 Tl.upf
N 14.01 N.upf
F 19.00 F.upf
CELL_PARAMETERS angstrom
3.3480 -1.9332 0.0000
3.3480 1.9332 0.0000
-1.0815 0.0000 8.2689
ATOMIC_POSITIONS angstrom
Tl 0.0000 0.0000 0.0000
N -0.2715 0.0000 3.6473
N 5.8860 0.0000 4.6216
F 1.1519 0.0000 7.2949
F 4.4626 0.0000 0.9740
```

Spin magnetization ... 0.0 μB/f.u.
V ... 107 Å³/cell
ΔE to the lowest computed polymorph ... 0.000 eV/atom